# 1
A relaxed BeVW2S crystal, computed with PBE.

The structure belongs to space group P4/mmm (No. 123); the cell edges are 4.474, 4.474 and 3.546 Å and the angles 90.00°, 90.00° and 90.00°. The inequivalent atoms are Be at (0.000, 0.000, 0.000), V at (0.500, 0.500, 0.500), W at (0.000, 0.500, 0.000) and S at (0.000, 0.000, 0.500).

The density of states at the Fermi level is 0.943 states/eV/atom. The value obtained for the raw formation energy is 1085.7 meV/atom.



# 2
A relaxed Be2WS crystal, computed with PBE.

The structure belongs to space group I-42d (No. 122); the cell edges are 6.216, 6.216 and 4.960 Å and the angles 90.00°, 90.00° and 90.00°. The inequivalent atoms are Be at (0.198, 0.250, 0.125), W at (0.000, 0.000, 0.500) and S at (0.000, 0.000, 0.000).

The density of states at the Fermi level is 0.623 states/eV/atom. The value obtained for the raw formation energy is 417.1 meV/atom.



# 3
A relaxed BeW2S crystal, computed with PBE.

The structure belongs to space group Fm-3m (No. 225); the cell edges are 5.925, 5.925 and 5.925 Å and the angles 90.00°, 90.00° and 90.00°. The inequivalent atoms are Be at (0.000, 0.000, 0.000), W at (0.250, 0.250, 0.250) and S at (0.000, 0.000, 0.500).

The density of states at the Fermi level is 0.730 states/eV/atom. The value obtained for the raw formation energy is 412.9 meV/atom.



# 4
A relaxed BeW3S crystal, computed with PBE.

The structure belongs to space group Pm-3m (No. 221); the cell edges are 4.384, 4.384 and 4.384 Å and the angles 90.00°, 90.00° and 90.00°. The inequivalent atoms are Be at (0.000, 0.000, 0.000), W at (0.000, 0.500, 0.500) and S at (0.500, 0.500, 0.500).

The density of states at the Fermi level is 0.519 states/eV/atom. The value obtained for the raw formation energy is 1124.3 meV/atom.



# 5
A relaxed BeW2S crystal, computed with PBE.

The structure belongs to space group I-42d (No. 122); the cell edges are 3.740, 3.740 and 17.128 Å and the angles 90.00°, 90.00° and 90.00°. The inequivalent atoms are Be at (0.000, 0.000, 0.000), W at (0.243, 0.250, 0.125) and S at (0.000, 0.000, 0.500).

The density of states at the Fermi level is 0.539 states/eV/atom. The value obtained for the raw formation energy is 583.0 meV/atom.



# 6
A relaxed YBe3S crystal, computed with PBE.

The structure belongs to space group Pm-3m (No. 221); the cell edges are 5.156, 5.156 and 5.156 Å and the angles 90.00°, 90.00° and 90.00°. The inequivalent atoms are Y at (0.000, 0.000, 0.000), Be at (0.000, 0.000, 0.500) and S at (0.500, 0.500, 0.500).

The density of states at the Fermi level is 1.045 states/eV/atom. The value obtained for the raw formation energy is 2041.8 meV/atom.